#1
AgAsW | PBE | relaxed

Unit cell a=4.4304 b=4.4304 c=4.4304 alpha=60.00 beta=60.00 gamma=60.00
Last column: nearest neighbours and their distance in Å.
Fractional coordinates of all 3 atoms:
1 Ag 0.0000 0.0000 0.0000  4 As 2.71, 4 W 2.71
2 As 0.7500 0.7500 0.7500  4 Ag 2.71
3 W 0.2500 0.2500 0.2500  4 Ag 2.71

Values from the calculation:
Volume: 61 Å³/cell

=====

#2
AgAsW | PBE | relaxed

Unit cell a=4.3626 b=4.3626 c=4.3626 alpha=60.00 beta=60.00 gamma=60.00
Last column: nearest neighbours and their distance in Å.
Fractional coordinates of all 3 atoms:
1 Ag 0.0000 0.0000 0.0000  4 W 2.67
2 As 0.5000 0.5000 0.5000  4 W 2.67
3 W 0.2500 0.2500 0.2500  4 As 2.67, 4 Ag 2.67

Values from the calculation:
Volume: 59 Å³/cell

=====

Computed energies relative to the best structure, in eV/atom: #1 0.687; #2 0.000

=====

#1
LuAgBAu | PBE | relaxed

Unit cell a=4.6039 b=4.6039 c=4.6039 alpha=60.00 beta=60.00 gamma=60.00
Last column: nearest neighbours and their distance in Å.
Fractional coordinates of all 4 atoms:
1 Lu 0.0000 0.0000 0.0000  4 B 2.82, 4 Au 2.82
2 Ag 0.5000 0.5000 0.5000  4 B 2.82, 4 Au 2.82
3 B 0.2500 0.2500 0.2500  4 Ag 2.82, 4 Lu 2.82
4 Au 0.7500 0.7500 0.7500  4 Lu 2.82, 4 Ag 2.82

Values from the calculation:
Volume: 69 Å³/cell

=====

#2
LuAgBAu | PBE | relaxed

Unit cell a=4.5919 b=4.5919 c=4.5919 alpha=60.00 beta=60.00 gamma=60.00
Last column: nearest neighbours and their distance in Å.
Fractional coordinates of all 4 atoms:
1 Lu 0.0000 0.0000 0.0000  4 Au 2.81, 4 Ag 2.81
2 Ag 0.2500 0.2500 0.2500  4 B 2.81, 4 Lu 2.81
3 B 0.5000 0.5000 0.5000  4 Au 2.81, 4 Ag 2.81
4 Au 0.7500 0.7500 0.7500  4 Lu 2.81, 4 B 2.81

Values from the calculation:
Volume: 68 Å³/cell

=====

Computed energies relative to the best structure, in eV/atom: #1 0.000; #2 0.166

=====

#1
BaAgAu | PBE | relaxed

Unit cell a=5.4038 b=5.4038 c=5.4038 alpha=60.00 beta=60.00 gamma=60.00
Last column: nearest neighbours and their distance in Å.
Fractional coordinates of all 3 atoms:
1 Ba 0.0000 0.0000 0.0000  4 Au 3.31, 4 Ag 3.31
2 Ag 0.7500 0.7500 0.7500  4 Ba 3.31
3 Au 0.2500 0.2500 0.2500  4 Ba 3.31

Values from the calculation:
Volume: 112 Å³/cell

=====

#2
BaAgAu | PBE | relaxed

Unit cell a=6.5148 b=6.5148 c=6.5148 alpha=136.10 beta=97.23 gamma=98.83
Last column: nearest neighbours and their distance in Å.
Fractional coordinates of all 6 atoms:
1 Ba 0.0000 0.0000 0.0000  6 Ag 3.54-3.55, 6 Au 3.54-3.56
2 Ba 0.5011 0.0011 0.5000  6 Au 3.54-3.56, 6 Ag 3.55
3 Ag 0.4163 0.6671 0.7492  3 Au 2.82
4 Ag 0.9179 0.6671 0.2508  3 Au 2.82
5 Au 0.0851 0.3347 0.7504  3 Ag 2.82
6 Au 0.5842 0.3347 0.2496  3 Ag 2.82

Values from the calculation:
Volume: 178 Å³/cell

=====

Computed energies relative to the best structure, in eV/atom: #1 0.403; #2 0.000

=====

#1
BaAgGeAu | PBE | relaxed

Unit cell a=5.2562 b=5.2562 c=5.2562 alpha=60.00 beta=60.00 gamma=60.00
Last column: nearest neighbours and their distance in Å.
Fractional coordinates of all 4 atoms:
1 Ba 0.0000 0.0000 0.0000  4 Ag 3.22, 4 Au 3.22
2 Ag 0.2500 0.2500 0.2500  4 Ba 3.22, 4 Ge 3.22
3 Ge 0.5000 0.5000 0.5000  4 Au 3.22, 4 Ag 3.22
4 Au 0.7500 0.7500 0.7500  4 Ge 3.22, 4 Ba 3.22

Values from the calculation:
Volume: 103 Å³/cell

=====

#2
BaAgGeAu | PBE | relaxed

Unit cell a=5.2346 b=5.2346 c=5.2346 alpha=60.00 beta=60.00 gamma=60.00
Last column: nearest neighbours and their distance in Å.
Fractional coordinates of all 4 atoms:
1 Ba 0.0000 0.0000 0.0000  4 Ge 3.21, 4 Au 3.21
2 Ag 0.5000 0.5000 0.5000  4 Au 3.21, 4 Ge 3.21
3 Ge 0.2500 0.2500 0.2500  4 Ag 3.21, 4 Ba 3.21
4 Au 0.7500 0.7500 0.7500  4 Ag 3.21, 4 Ba 3.21

Values from the calculation:
Volume: 101 Å³/cell

=====

Computed energies relative to the best structure, in eV/atom: #1 0.000; #2 0.035

=====

#1
BaHfAgAu | PBE | relaxed

Unit cell a=5.0971 b=5.0971 c=5.0971 alpha=60.00 beta=60.00 gamma=60.00
Last column: nearest neighbours and their distance in Å.
Fractional coordinates of all 4 atoms:
1 Ba 0.0000 0.0000 0.0000  4 Hf 3.12, 4 Au 3.12
2 Hf 0.2500 0.2500 0.2500  4 Ag 3.12, 4 Ba 3.12
3 Ag 0.5000 0.5000 0.5000  4 Au 3.12, 4 Hf 3.12
4 Au 0.7500 0.7500 0.7500  4 Ag 3.12, 4 Ba 3.12

Values from the calculation:
Volume: 94 Å³/cell

=====

#2
BaHfAgAu | PBE | relaxed

Unit cell a=5.2632 b=5.2632 c=5.2632 alpha=60.00 beta=60.00 gamma=60.00
Last column: nearest neighbours and their distance in Å.
Fractional coordinates of all 4 atoms:
1 Ba 0.0000 0.0000 0.0000  4 Au 3.22, 4 Ag 3.22
2 Hf 0.5000 0.5000 0.5000  4 Au 3.22, 4 Ag 3.22
3 Ag 0.2500 0.2500 0.2500  4 Hf 3.22, 4 Ba 3.22
4 Au 0.7500 0.7500 0.7500  4 Hf 3.22, 4 Ba 3.22

Values from the calculation:
Volume: 103 Å³/cell

=====

#3
BaHfAgAu | PBE | relaxed

Unit cell a=5.0627 b=5.0627 c=5.0627 alpha=60.00 beta=60.00 gamma=60.00
Last column: nearest neighbours and their distance in Å.
Fractional coordinates of all 4 atoms:
1 Ba 0.0000 0.0000 0.0000  4 Hf 3.10, 4 Ag 3.10
2 Hf 0.2500 0.2500 0.2500  4 Ba 3.10, 4 Au 3.10
3 Ag 0.7500 0.7500 0.7500  4 Ba 3.10, 4 Au 3.10
4 Au 0.5000 0.5000 0.5000  4 Hf 3.10, 4 Ag 3.10

Values from the calculation:
Volume: 92 Å³/cell

=====

Computed energies relative to the best structure, in eV/atom: #1 0.203; #2 0.000; #3 0.107

=====

#1
BaSiAgAu | PBE | relaxed

Unit cell a=5.1865 b=5.1865 c=5.1865 alpha=60.00 beta=60.00 gamma=60.00
Last column: nearest neighbours and their distance in Å.
Fractional coordinates of all 4 atoms:
1 Ba 0.0000 0.0000 0.0000  4 Ag 3.18, 4 Au 3.18
2 Si 0.5000 0.5000 0.5000  4 Au 3.18, 4 Ag 3.18
3 Ag 0.2500 0.2500 0.2500  4 Ba 3.18, 4 Si 3.18
4 Au 0.7500 0.7500 0.7500  4 Si 3.18, 4 Ba 3.18

Values from the calculation:
Volume: 99 Å³/cell

=====

#2
BaSiAgAu | PBE | relaxed

Unit cell a=5.1271 b=5.1271 c=5.1271 alpha=60.00 beta=60.00 gamma=60.00
Last column: nearest neighbours and their distance in Å.
Fractional coordinates of all 4 atoms:
1 Ba 0.0000 0.0000 0.0000  4 Si 3.14, 4 Ag 3.14
2 Si 0.2500 0.2500 0.2500  4 Ba 3.14, 4 Au 3.14
3 Ag 0.7500 0.7500 0.7500  4 Ba 3.14, 4 Au 3.14
4 Au 0.5000 0.5000 0.5000  4 Si 3.14, 4 Ag 3.14

Values from the calculation:
Volume: 95 Å³/cell

=====

Computed energies relative to the best structure, in eV/atom: #1 0.000; #2 0.036

=====

#1
Be2AgAu2 | PBE | relaxed

Unit cell a=6.2707 b=6.2707 c=6.2707 alpha=146.75 beta=146.75 gamma=47.74
Last column: nearest neighbours and their distance in Å.
Fractional coordinates of all 5 atoms:
1 Be 0.2500 0.7500 0.5000  4 Au 2.32, 4 Be 2.54
2 Be 0.7500 0.2500 0.5000  4 Au 2.32, 4 Be 2.54
3 Ag 0.0000 0.0000 0.0000  8 Au 2.89
4 Au 0.3787 0.3787 0.0000  4 Be 2.32
5 Au 0.6213 0.6213 0.0000  4 Be 2.32

Values from the calculation:
Volume: 74 Å³/cell

=====

#2
Be2AgAu2 | PBE | relaxed

Unit cell a=6.8886 b=6.8886 c=2.9205 alpha=90.00 beta=90.00 gamma=90.00
Last column: nearest neighbours and their distance in Å.
Fractional coordinates of all 10 atoms:
1 Be 0.1321 0.3679 0.0000  6 Au 2.48-2.52, 1 Be 2.57, 2 Ag 2.69
2 Be 0.3679 0.8679 0.0000  6 Au 2.48-2.52, 1 Be 2.57, 2 Ag 2.69
3 Be 0.6321 0.1321 0.0000  6 Au 2.48-2.52, 1 Be 2.57, 2 Ag 2.69
4 Be 0.8679 0.6321 0.0000  6 Au 2.48-2.52, 1 Be 2.57, 2 Ag 2.69
5 Ag 0.0000 0.0000 0.0000  4 Be 2.69, 2 Ag 2.92, 8 Au 2.98
6 Ag 0.5000 0.5000 0.0000  4 Be 2.69, 2 Ag 2.92, 8 Au 2.98
7 Au 0.1577 0.6577 0.5000  6 Be 2.48-2.52
8 Au 0.3423 0.1577 0.5000  6 Be 2.48-2.52
9 Au 0.6577 0.8423 0.5000  6 Be 2.48-2.52
10 Au 0.8423 0.3423 0.5000  6 Be 2.48-2.52

Values from the calculation:
Volume: 139 Å³/cell

=====

Computed energies relative to the best structure, in eV/atom: #1 0.057; #2 0.000

=====

#1
BeAgPbAu | PBE | relaxed

Unit cell a=4.7825 b=4.7825 c=4.7825 alpha=60.00 beta=60.00 gamma=60.00
Last column: nearest neighbours and their distance in Å.
Fractional coordinates of all 4 atoms:
1 Be 0.0000 0.0000 0.0000  4 Pb 2.93, 4 Ag 2.93
2 Ag 0.2500 0.2500 0.2500  4 Be 2.93, 4 Au 2.93
3 Pb 0.7500 0.7500 0.7500  4 Au 2.93, 4 Be 2.93
4 Au 0.5000 0.5000 0.5000  4 Pb 2.93, 4 Ag 2.93

Values from the calculation:
Volume: 77 Å³/cell

=====

#2
BeAgPbAu | PBE | relaxed

Unit cell a=4.7530 b=4.7530 c=4.7530 alpha=60.00 beta=60.00 gamma=60.00
Last column: nearest neighbours and their distance in Å.
Fractional coordinates of all 4 atoms:
1 Be 0.0000 0.0000 0.0000  4 Pb 2.91, 4 Au 2.91
2 Ag 0.5000 0.5000 0.5000  4 Pb 2.91, 4 Au 2.91
3 Pb 0.7500 0.7500 0.7500  4 Be 2.91, 4 Ag 2.91
4 Au 0.2500 0.2500 0.2500  4 Be 2.91, 4 Ag 2.91

Values from the calculation:
Volume: 76 Å³/cell

=====

Computed energies relative to the best structure, in eV/atom: #1 0.052; #2 0.000

=====

#1
KAgBiAu | PBE | relaxed

Unit cell a=5.2047 b=5.2047 c=5.2047 alpha=60.00 beta=60.00 gamma=60.00
Last column: nearest neighbours and their distance in Å.
Fractional coordinates of all 4 atoms:
1 K 0.0000 0.0000 0.0000  4 Bi 3.19, 4 Ag 3.19
2 Ag 0.2500 0.2500 0.2500  4 K 3.19, 4 Au 3.19
3 Bi 0.7500 0.7500 0.7500  4 Au 3.19, 4 K 3.19
4 Au 0.5000 0.5000 0.5000  4 Bi 3.19, 4 Ag 3.19

Values from the calculation:
Volume: 100 Å³/cell

=====

#2
KAgBiAu | PBE | relaxed

Unit cell a=5.2529 b=5.2529 c=5.2529 alpha=60.00 beta=60.00 gamma=60.00
Last column: nearest neighbours and their distance in Å.
Fractional coordinates of all 4 atoms:
1 K 0.0000 0.0000 0.0000  4 Au 3.22, 4 Ag 3.22
2 Ag 0.7500 0.7500 0.7500  4 K 3.22, 4 Bi 3.22
3 Bi 0.5000 0.5000 0.5000  4 Ag 3.22, 4 Au 3.22
4 Au 0.2500 0.2500 0.2500  4 Bi 3.22, 4 K 3.22

Values from the calculation:
Volume: 102 Å³/cell

=====

Computed energies relative to the best structure, in eV/atom: #1 0.097; #2 0.000

=====

#1
NaAgBiAu | PBE | relaxed

Unit cell a=4.9851 b=4.9851 c=4.9851 alpha=60.00 beta=60.00 gamma=60.00
Last column: nearest neighbours and their distance in Å.
Fractional coordinates of all 4 atoms:
1 Na 0.0000 0.0000 0.0000  4 Ag 3.05, 4 Bi 3.05
2 Ag 0.7500 0.7500 0.7500  4 Na 3.05, 4 Au 3.05
3 Bi 0.2500 0.2500 0.2500  4 Na 3.05, 4 Au 3.05
4 Au 0.5000 0.5000 0.5000  4 Ag 3.05, 4 Bi 3.05

Values from the calculation:
Volume: 88 Å³/cell

=====

#2
NaAgBiAu | PBE | relaxed

Unit cell a=5.0191 b=5.0191 c=5.0191 alpha=60.00 beta=60.00 gamma=60.00
Last column: nearest neighbours and their distance in Å.
Fractional coordinates of all 4 atoms:
1 Na 0.0000 0.0000 0.0000  4 Au 3.07, 4 Ag 3.07
2 Ag 0.2500 0.2500 0.2500  4 Bi 3.07, 4 Na 3.07
3 Bi 0.5000 0.5000 0.5000  4 Au 3.07, 4 Ag 3.07
4 Au 0.7500 0.7500 0.7500  4 Bi 3.07, 4 Na 3.07

Values from the calculation:
Volume: 89 Å³/cell

=====

Computed energies relative to the best structure, in eV/atom: #1 0.045; #2 0.000

=====

#1
Cs2AgAuBr2Cl4 | PBE | relaxed

Unit cell a=7.6109 b=7.6109 c=7.6109 alpha=121.64 beta=121.64 gamma=87.18
Last column: nearest neighbours and their distance in Å.
Fractional coordinates of all 10 atoms:
1 Cs 0.2500 0.7500 0.5000  4 Br 3.72, 8 Cl 3.81
2 Cs 0.7500 0.2500 0.5000  4 Br 3.72, 8 Cl 3.81
3 Ag 0.0000 0.0000 0.0000  4 Cl 2.53
4 Au 0.5000 0.5000 0.0000  2 Br 2.53, 4 Cl 2.72
5 Br 0.2708 0.2708 0.0000  1 Au 2.53
6 Br 0.7292 0.7292 0.0000  1 Au 2.53
7 Cl 0.2408 0.2408 0.4816  1 Ag 2.53, 1 Au 2.72
8 Cl 0.2408 0.7592 0.0000  1 Ag 2.53, 1 Au 2.72
9 Cl 0.7592 0.2408 0.0000  1 Ag 2.53, 1 Au 2.72
10 Cl 0.7592 0.7592 0.5184  1 Ag 2.53, 1 Au 2.72

Values from the calculation:
Volume: 304 Å³/cell

=====

#2
Cs2AgAuBr2Cl4 | PBE | relaxed

Unit cell a=7.8563 b=7.8563 c=7.8563 alpha=123.37 beta=123.37 gamma=84.26
Last column: nearest neighbours and their distance in Å.
Fractional coordinates of all 10 atoms:
1 Cs 0.2500 0.7500 0.5000  4 Br 3.75, 8 Cl 3.94
2 Cs 0.7500 0.2500 0.5000  4 Br 3.75, 8 Cl 3.94
3 Ag 0.0000 0.0000 0.0000  2 Br 2.53
4 Au 0.5000 0.5000 0.0000  4 Cl 2.37
5 Br 0.2171 0.2171 0.0000  1 Ag 2.53
6 Br 0.7829 0.7829 0.0000  1 Ag 2.53
7 Cl 0.2752 0.2752 0.5505  1 Au 2.37
8 Cl 0.2752 0.7248 0.0000  1 Au 2.37
9 Cl 0.7248 0.2752 0.0000  1 Au 2.37
10 Cl 0.7248 0.7248 0.4495  1 Au 2.37

Values from the calculation:
Volume: 324 Å³/cell

=====

Computed energies relative to the best structure, in eV/atom: #1 0.039; #2 0.000

=====

#1
LaCdAgAu | PBE | relaxed

Unit cell a=5.0905 b=5.0905 c=5.0905 alpha=60.00 beta=60.00 gamma=60.00
Last column: nearest neighbours and their distance in Å.
Fractional coordinates of all 4 atoms:
1 La 0.0000 0.0000 0.0000  4 Cd 3.12, 4 Ag 3.12
2 Cd 0.7500 0.7500 0.7500  4 Au 3.12, 4 La 3.12
3 Ag 0.2500 0.2500 0.2500  4 La 3.12, 4 Au 3.12
4 Au 0.5000 0.5000 0.5000  4 Cd 3.12, 4 Ag 3.12

Values from the calculation:
Volume: 93 Å³/cell

=====

#2
LaCdAgAu | PBE | relaxed

Unit cell a=5.1176 b=5.1176 c=5.1176 alpha=60.00 beta=60.00 gamma=60.00
Last column: nearest neighbours and their distance in Å.
Fractional coordinates of all 4 atoms:
1 La 0.0000 0.0000 0.0000  4 Au 3.13, 4 Cd 3.13
2 Cd 0.2500 0.2500 0.2500  4 Ag 3.13, 4 La 3.13
3 Ag 0.5000 0.5000 0.5000  4 Cd 3.13, 4 Au 3.13
4 Au 0.7500 0.7500 0.7500  4 Ag 3.13, 4 La 3.13

Values from the calculation:
Volume: 95 Å³/cell

=====

Computed energies relative to the best structure, in eV/atom: #1 0.069; #2 0.000